1.
DFT (PBE) results for an optimized crystal structure of KP2Se3.

Cell: 8.260 8.260 8.260 Å, 50.15 50.15 50.15°
Element x y z (fractional)
P 0.500 0.000 0.500
P 0.000 0.000 0.000
Se 0.237 0.741 0.237
Se 0.259 0.763 0.763
Se 0.237 0.237 0.741
P 0.500 0.500 0.000
Se 0.763 0.763 0.259
Se 0.741 0.237 0.237
K 0.205 0.205 0.205
P 0.000 0.500 0.500
Se 0.763 0.259 0.763
K 0.795 0.795 0.795

As for the space-group type: R-3m. For the mass density, the calculation gives 3.670 g/cm³. The distance to the lowest polymorph of the same formula comes out at 3.60 kcal/mol of atoms. Its crystal system is trigonal. The calculation puts the density of states at the Fermi level at 2.27 states/eV/f.u.

2.
DFT (PBE) results for an optimized crystal structure of KPSe2.

Cell: 6.480 6.540 12.649 Å, 73.49 75.70 71.40°
Element x y z (fractional)
Se 0.208 0.206 0.130
Se 0.214 0.702 0.311
P 0.165 0.052 0.332
P 0.796 0.107 0.919
Se 0.839 0.896 0.116
P 0.204 0.893 0.081
K 0.655 0.431 0.145
K 0.345 0.569 0.855
K 0.693 0.718 0.425
P 0.835 0.948 0.668
Se 0.792 0.794 0.870
Se 0.197 0.803 0.613
Se 0.786 0.298 0.689
Se 0.161 0.104 0.884
K 0.307 0.282 0.575
Se 0.803 0.197 0.387

As for the space-group type: P-1. For the mass density, the calculation gives 3.156 g/cm³. For the raw total energy, the calculation gives -3.91 eV/atom. Its crystal system is triclinic.